This record from Alexandria describes crystalline MgMnTc4 at its relaxed geometry. The functional is PBE.

Cell lengths 5.147, 5.147, 5.147 Å; angles 60.00, 60.00, 60.00 degrees
Fractional positions:
Mg (0.000, 0.000, 0.000)
Mn (0.750, 0.750, 0.750)
Tc (0.375, 0.375, 0.375)
Tc (0.375, 0.375, 0.874)
Tc (0.375, 0.874, 0.375)
Tc (0.874, 0.375, 0.375)

Computed properties:
Energy of formation = 288 meV per atom
Magnetic moment = 3.3 μB/cell